Record 1
Crystalline SmHo5In3 at its relaxed geometry. Source: Alexandria via LeMat-Bulk, functional PBE-GGA.

Values from the calculation:
uncorrected energy	-4.331	eV/atom

```
data_SmHo5In3
_symmetry_space_group_name_H-M 'P 63/m c m'
_symmetry_Int_Tables_number 193
_symmetry_space_group_name_Hall '-P 6c 2'
_cell_length_a 9.3424
_cell_length_b 9.3424
_cell_length_c 6.7158
_cell_angle_alpha 90.00
_cell_angle_beta 90.00
_cell_angle_gamma 120.00
loop_
_atom_site_label
_atom_site_type_symbol
_atom_site_fract_x
_atom_site_fract_y
_atom_site_fract_z
_atom_site_occupancy
Sm1 Sm 0.0000 0.0000 0.0000 1
Ho1 Ho 0.0000 0.3313 0.2500 1
Ho2 Ho 0.3333 0.6667 0.0000 1
In1 In 0.0000 0.3382 0.7500 1
```



Record 2
Crystalline Sm5HoIn5 at its relaxed geometry. Source: Alexandria via LeMat-Bulk, functional PBE-GGA.

Values from the calculation:
uncorrected energy	-4.032	eV/atom

```
data_Sm5HoIn5
_symmetry_space_group_name_H-M 'C 1 2/m 1'
_symmetry_Int_Tables_number 12
_cell_length_a 17.927
_cell_length_b 5.772
_cell_length_c 6.977
_cell_angle_alpha 90.00
_cell_angle_beta 112.73
_cell_angle_gamma 90.00
loop_
_symmetry_equiv_pos_as_xyz
'x,y,z'
'-x,-y,-z'
'-x,y,-z'
'x,-y,z'
'x+1/2,y+1/2,z'
'-x+1/2,-y+1/2,-z'
'-x+1/2,y+1/2,-z'
'x+1/2,-y+1/2,z'
loop_
_atom_site_label
_atom_site_type_symbol
_atom_site_fract_x
_atom_site_fract_y
_atom_site_fract_z
_atom_site_occupancy
Sm1 Sm 0.000 0.000 0.000 1
Sm2 Sm 0.138 0.500 0.141 1
Sm3 Sm 0.188 0.500 0.689 1
Ho1 Ho 0.000 0.000 0.500 1
In1 In 0.000 0.500 0.500 1
In2 In 0.163 0.000 0.439 1
In3 In 0.163 0.000 0.888 1
```



Record 3
Crystalline Sm2Ho3In6 at its relaxed geometry. Source: Alexandria via LeMat-Bulk, functional PBE-GGA.

Values from the calculation:
uncorrected energy	-3.726	eV/atom

```
data_Sm2Ho3In6
_symmetry_space_group_name_H-M 'I 4/m m m'
_symmetry_Int_Tables_number 139
_symmetry_space_group_name_Hall '-I 4 2'
_cell_length_a 4.406
_cell_length_b 4.406
_cell_length_c 33.438
_cell_angle_alpha 90.00
_cell_angle_beta 90.00
_cell_angle_gamma 90.00
loop_
_atom_site_label
_atom_site_type_symbol
_atom_site_fract_x
_atom_site_fract_y
_atom_site_fract_z
_atom_site_occupancy
Sm1 Sm 0.000 0.000 0.175 1
Ho1 Ho 0.000 0.000 0.365 1
Ho2 Ho 0.000 0.000 0.500 1
In1 In 0.000 0.000 0.273 1
In2 In 0.000 0.500 0.069 1
```



Record 4
Crystalline Sm15Ho4In at its relaxed geometry. Source: Alexandria via LeMat-Bulk, functional PBE-GGA.

Values from the calculation:
uncorrected energy	-4.628	eV/atom

```
data_Sm15Ho4In
_symmetry_space_group_name_H-M 'P 4/m m m'
_symmetry_Int_Tables_number 123
_symmetry_space_group_name_Hall '-P 4 2'
_cell_length_a 5.049
_cell_length_b 5.049
_cell_length_c 25.480
_cell_angle_alpha 90.00
_cell_angle_beta 90.00
_cell_angle_gamma 90.00
loop_
_atom_site_label
_atom_site_type_symbol
_atom_site_fract_x
_atom_site_fract_y
_atom_site_fract_z
_atom_site_occupancy
Sm1 Sm 0.000 0.000 0.000 1
Sm2 Sm 0.000 0.000 0.197 1
Sm3 Sm 0.000 0.000 0.399 1
Sm4 Sm 0.000 0.500 0.097 1
Sm5 Sm 0.000 0.500 0.299 1
Sm6 Sm 0.000 0.500 0.500 1
Ho1 Ho 0.500 0.500 0.198 1
Ho2 Ho 0.500 0.500 0.400 1
In1 In 0.500 0.500 0.000 1
```



Record 5
Crystalline Sm8Ho5In at its relaxed geometry. Source: Alexandria via LeMat-Bulk, functional PBE-GGA.

Values from the calculation:
uncorrected energy	-4.426	eV/atom

```
data_Sm8Ho5In
_symmetry_space_group_name_H-M 'C 1 2 1'
_symmetry_Int_Tables_number 5
_cell_length_a 15.398
_cell_length_b 8.371
_cell_length_c 8.444
_cell_angle_alpha 90.00
_cell_angle_beta 121.61
_cell_angle_gamma 90.00
loop_
_symmetry_equiv_pos_as_xyz
'x,y,z'
'-x,y,-z'
'x+1/2,y+1/2,z'
'-x+1/2,y+1/2,-z'
loop_
_atom_site_label
_atom_site_type_symbol
_atom_site_fract_x
_atom_site_fract_y
_atom_site_fract_z
_atom_site_occupancy
Sm1 Sm 0.124 0.000 0.180 1
Sm2 Sm 0.176 0.595 0.220 1
Sm3 Sm 0.182 0.298 0.917 1
Sm4 Sm 0.185 0.775 0.571 1
Ho1 Ho 0.000 0.045 0.500 1
Ho2 Ho 0.048 0.703 0.773 1
Ho3 Ho 0.099 0.373 0.453 1
In1 In 0.000 0.340 0.000 1
```



Record 6
Crystalline Sm4HoIn2 at its relaxed geometry. Source: Alexandria via LeMat-Bulk, functional PBE-GGA.

Values from the calculation:
E above lowest polymorph	0	meV/atom
uncorrected energy	-4.308	eV/atom

```
data_Sm4HoIn2
_symmetry_space_group_name_H-M 'P 1 21/m 1'
_symmetry_Int_Tables_number 11
_cell_length_a 8.525
_cell_length_b 6.647
_cell_length_c 8.618
_cell_angle_alpha 90.00
_cell_angle_beta 119.15
_cell_angle_gamma 90.00
loop_
_symmetry_equiv_pos_as_xyz
'x,y,z'
'-x,-y,-z'
'-x,y+1/2,-z'
'x,-y+1/2,z'
loop_
_atom_site_label
_atom_site_type_symbol
_atom_site_fract_x
_atom_site_fract_y
_atom_site_fract_z
_atom_site_occupancy
Sm1 Sm 0.043 0.250 0.038 1
Sm2 Sm 0.103 0.750 0.390 1
Sm3 Sm 0.441 0.504 0.269 1
Ho1 Ho 0.253 0.750 0.832 1
In1 In 0.188 0.250 0.461 1
In2 In 0.327 0.250 0.890 1
```



Record 7
Crystalline Sm9Ho4In11 at its relaxed geometry. Source: Alexandria via LeMat-Bulk, functional PBE-GGA.

Values from the calculation:
uncorrected energy	-4.190	eV/atom

```
data_Sm9Ho4In11
_symmetry_space_group_name_H-M 'C m m m'
_symmetry_Int_Tables_number 65
_symmetry_space_group_name_Hall '-C 2 2'
_cell_length_a 17.971
_cell_length_b 21.291
_cell_length_c 3.509
_cell_angle_alpha 90.00
_cell_angle_beta 90.00
_cell_angle_gamma 90.00
loop_
_atom_site_label
_atom_site_type_symbol
_atom_site_fract_x
_atom_site_fract_y
_atom_site_fract_z
_atom_site_occupancy
Sm1 Sm 0.000 0.000 0.000 1
Sm2 Sm 0.116 0.241 0.000 1
Sm3 Sm 0.121 0.413 0.000 1
Ho1 Ho 0.152 0.084 0.000 1
In1 In 0.000 0.136 0.500 1
In2 In 0.000 0.332 0.500 1
In3 In 0.000 0.500 0.500 1
In4 In 0.237 0.500 0.500 1
In5 In 0.244 0.324 0.500 1
```



Record 8
Crystalline Sm5HoIn4 at its relaxed geometry. Source: Alexandria via LeMat-Bulk, functional PBE-GGA.

Values from the calculation:
uncorrected energy	-4.292	eV/atom

```
data_Sm5HoIn4
_symmetry_space_group_name_H-M 'P 4/m m m'
_symmetry_Int_Tables_number 123
_symmetry_space_group_name_Hall '-P 4 2'
_cell_length_a 3.620
_cell_length_b 3.620
_cell_length_c 22.198
_cell_angle_alpha 90.00
_cell_angle_beta 90.00
_cell_angle_gamma 90.00
loop_
_atom_site_label
_atom_site_type_symbol
_atom_site_fract_x
_atom_site_fract_y
_atom_site_fract_z
_atom_site_occupancy
Sm1 Sm 0.000 0.000 0.000 1
Sm2 Sm 0.000 0.000 0.193 1
Sm3 Sm 0.000 0.000 0.386 1
Ho1 Ho 0.500 0.500 0.500 1
In1 In 0.500 0.500 0.097 1
In2 In 0.500 0.500 0.290 1
```



Record 9
Crystalline Sm2Ho2In3 at its relaxed geometry. Source: Alexandria via LeMat-Bulk, functional PBE-GGA.

Values from the calculation:
E above lowest polymorph	25	meV/atom
uncorrected energy	-4.109	eV/atom

```
data_Sm2Ho2In3
_symmetry_space_group_name_H-M 'P -1'
_symmetry_Int_Tables_number 2
_cell_length_a 3.876
_cell_length_b 6.606
_cell_length_c 9.027
_cell_angle_alpha 68.89
_cell_angle_beta 77.66
_cell_angle_gamma 72.99
loop_
_symmetry_equiv_pos_as_xyz
'x,y,z'
'-x,-y,-z'
loop_
_atom_site_label
_atom_site_type_symbol
_atom_site_fract_x
_atom_site_fract_y
_atom_site_fract_z
_atom_site_occupancy
Sm1 Sm 0.114 0.222 0.048 1
Ho1 Ho 0.369 0.439 0.322 1
In1 In 0.000 0.000 0.500 1
In2 In 0.325 0.144 0.708 1
```



Record 10
Crystalline Sm2Ho2In3 at its relaxed geometry. Source: Alexandria via LeMat-Bulk, functional PBE-GGA.

Values from the calculation:
E above lowest polymorph	0	meV/atom
uncorrected energy	-4.134	eV/atom

```
data_Sm2Ho2In3
_symmetry_space_group_name_H-M 'C m m m'
_symmetry_Int_Tables_number 65
_symmetry_space_group_name_Hall '-C 2 2'
_cell_length_a 4.561
_cell_length_b 24.853
_cell_length_c 3.484
_cell_angle_alpha 90.00
_cell_angle_beta 90.00
_cell_angle_gamma 90.00
loop_
_atom_site_label
_atom_site_type_symbol
_atom_site_fract_x
_atom_site_fract_y
_atom_site_fract_z
_atom_site_occupancy
Sm1 Sm 0.000 0.071 0.000 1
Ho1 Ho 0.000 0.202 0.000 1
In1 In 0.000 0.355 0.500 1
In2 In 0.000 0.500 0.500 1
```



Record 11
Crystalline Sm4HoIn3 at its relaxed geometry. Source: Alexandria via LeMat-Bulk, functional PBE-GGA.

Values from the calculation:
uncorrected energy	-4.285	eV/atom

```
data_Sm4HoIn3
_symmetry_space_group_name_H-M 'R -3 m'
_symmetry_Int_Tables_number 166
_symmetry_space_group_name_Hall '-R 3 2"'
_cell_length_a 5.4510
_cell_length_b 5.4510
_cell_length_c 27.3058
_cell_angle_alpha 90.00
_cell_angle_beta 90.00
_cell_angle_gamma 120.00
loop_
_atom_site_label
_atom_site_type_symbol
_atom_site_fract_x
_atom_site_fract_y
_atom_site_fract_z
_atom_site_occupancy
Sm1 Sm 0.0000 0.0000 0.1170 1
Sm2 Sm 0.0000 0.0000 0.3697 1
Ho1 Ho 0.0000 0.0000 0.5000 1
In1 In 0.0000 0.0000 0.0000 1
In2 In 0.0000 0.0000 0.2399 1
```



Record 12
Crystalline Sm5Ho2In at its relaxed geometry. Source: Alexandria via LeMat-Bulk, functional PBE-GGA.

Values from the calculation:
uncorrected energy	-4.548	eV/atom

```
data_Sm5Ho2In
_symmetry_space_group_name_H-M 'I 4/m m m'
_symmetry_Int_Tables_number 139
_symmetry_space_group_name_Hall '-I 4 2'
_cell_length_a 4.962
_cell_length_b 4.962
_cell_length_c 20.313
_cell_angle_alpha 90.00
_cell_angle_beta 90.00
_cell_angle_gamma 90.00
loop_
_atom_site_label
_atom_site_type_symbol
_atom_site_fract_x
_atom_site_fract_y
_atom_site_fract_z
_atom_site_occupancy
Sm1 Sm 0.000 0.000 0.000 1
Sm2 Sm 0.000 0.500 0.123 1
Ho1 Ho 0.000 0.000 0.248 1
In1 In 0.000 0.000 0.500 1
```